The following is a PBE+U calculation of crystalline CaMn3Cu3RuO12 at its relaxed geometry, from Alexandria.

Structure (CIF):
```
data_CaMn3Cu3RuO12
_cell_length_a 6.398
_cell_length_b 6.476
_cell_length_c 6.476
_cell_angle_alpha 70.29
_cell_angle_beta 70.77
_cell_angle_gamma 109.23
_space_group_name_H-M_alt 'P 1'
_space_group_IT_number 1
_space_group_name_Hall 'P 1'
loop_
_atom_site_label
_atom_site_type_symbol
_atom_site_fract_x
_atom_site_fract_y
_atom_site_fract_z
O1 O 0.139 0.319 0.167
O2 O 0.694 0.833 0.486
O3 O 0.828 0.140 0.699
O4 O 0.688 0.161 0.140
O5 O 0.312 0.839 0.860
O6 O 0.473 0.301 0.839
O7 O 0.861 0.681 0.833
O8 O 0.527 0.699 0.161
O9 O 0.820 0.514 0.319
O10 O 0.306 0.167 0.514
O11 O 0.172 0.860 0.301
O12 O 0.180 0.486 0.681
Cu1 Cu 0.500 0.500 0.000
Cu2 Cu 0.500 0.000 0.500
Cu3 Cu 0.000 0.500 0.500
Mn1 Mn 0.000 0.500 0.000
Mn2 Mn 0.000 0.000 0.500
Mn3 Mn 0.500 0.500 0.500
Ru1 Ru 0.500 0.000 0.000
Ca1 Ca 0.000 0.000 0.000
```

calculated volume	10.4	Å³/atom
space group	No. 148
crystal system	trigonal
final energy	-6.527	eV/atom